DFT (PBE with a Hubbard U) results for an optimized crystal structure of LaPuCrO6.

```
LaPuCrO6
1.0
-2.0851 1.1509 4.8191
5.1596 -1.4489 -0.4196
2.7169 10.0283 -1.2195
O Pu La Cr
12 2 2 2
Direct
0.9927 0.3571 0.6436
0.0073 0.6429 0.3564
0.3571 0.3644 0.3564
0.6356 0.6429 0.1436
0.0073 0.3644 0.1436
0.9927 0.6357 0.8564
0.3571 0.9927 0.1436
0.6356 0.9927 0.3564
0.6429 0.0073 0.8564
0.3644 0.3571 0.8564
0.6429 0.6357 0.6436
0.3644 0.0073 0.6436
0.3333 0.6667 0.7500
0.6667 0.3333 0.2500
0.0000 0.0000 0.5000
0.0000 0.0000 0.0000
0.6667 0.3333 0.7500
0.3333 0.6667 0.2500
```

Results
**DOS at the Fermi energy**: 15.6 states/eV per cell
**Calculated total energy**: -8.948 eV/atom
**Size of the total moment**: 10.000 μB per cell